First-principles (PBE) data for a geometry-optimized La2CrTcC structure, as listed in Alexandria.

Output
The density of states at the Fermi level comes out at 4.13 states/eV/cell. As for the magnetization: 3.834 μB/cell. As for the formation energy from the elements: 0.1971 eV per atom. Its crystal system is tetragonal.

The structure in extended XYZ format:
```
5
Lattice="5.301 0.000 0.000 0.000 4.002 0.000 0.000 0.000 5.301" Properties=species:S:1:pos:R:3 pbc="T T T"
Cr 2.651 2.001 2.651
C 0.000 0.000 0.000
Tc 0.000 2.001 0.000
La 0.000 0.000 2.651
La 2.651 0.000 0.000
```

First-principles (PBE) data for a geometry-optimized Mg2MoPt structure, as listed in Alexandria.

Output
The density of states at the Fermi level comes out at 2.34 states/eV/cell. As for the magnetization: 0.000 μB/cell. The relative energy among the computed polymorphs is 0.036 eV per atom. As for the formation energy from the elements: -0.1697 eV per atom. Its crystal system is tetragonal.

The structure in extended XYZ format:
```
4
Lattice="2.882 0.000 0.000 0.000 2.882 0.000 0.000 0.000 8.475" Properties=species:S:1:pos:R:3 pbc="T T T"
Mg 0.000 0.000 8.168
Mg 1.441 1.441 2.313
Mo 0.000 0.000 4.421
Pt 1.441 1.441 6.286
```

First-principles (PBE) data for a geometry-optimized Tc2MoIr structure, as listed in Alexandria.

Output
The density of states at the Fermi level comes out at 4.49 states/eV/cell. As for the magnetization: 0.000 μB/cell. The relative energy among the computed polymorphs is 0.390 eV per atom. As for the formation energy from the elements: 0.2483 eV per atom. Its crystal system is trigonal.

The structure in extended XYZ format:
```
4
Lattice="-1.339 -2.804 -3.036 -2.327 -3.486 1.139 -4.477 -0.067 -1.071" Properties=species:S:1:pos:R:3 pbc="T T T"
Tc -4.144 -0.275 -1.026
Tc -1.993 -1.616 -0.736
Mo -4.109 -3.156 -1.489
Ir -6.447 -4.556 -2.272
```

First-principles (PBE) data for a geometry-optimized CsTcAu3 structure, as listed in Alexandria.

Output
The density of states at the Fermi level comes out at 1.60 states/eV/cell. As for the magnetization: 3.759 μB/cell. The relative energy among the computed polymorphs is 0.000 eV per atom. As for the formation energy from the elements: 0.5015 eV per atom. Its crystal system is cubic.

The structure in extended XYZ format:
```
5
Lattice="5.334 0.000 0.000 0.000 5.334 0.000 0.000 0.000 5.334" Properties=species:S:1:pos:R:3 pbc="T T T"
Cs 2.667 2.667 2.667
Tc 0.000 0.000 0.000
Au 0.000 2.667 0.000
Au 0.000 0.000 2.667
Au 2.667 0.000 0.000
```

First-principles (PBE) data for a geometry-optimized Sc2PRu structure, as listed in Alexandria.

Output
The density of states at the Fermi level comes out at 3.39 states/eV/cell. As for the magnetization: 0.000 μB/cell. As for the formation energy from the elements: -0.6519 eV per atom. Its crystal system is tetragonal.

The structure in extended XYZ format:
```
4
Lattice="-3.467 2.457 3.296 -4.970 1.187 -1.678 3.357 -4.201 0.058" Properties=species:S:1:pos:R:3 pbc="T T T"
Sc 0.000 0.000 0.000
Sc -2.915 -0.596 -0.405
P -4.218 1.822 0.809
Ru -2.164 0.039 2.082
```

First-principles (PBE) data for a geometry-optimized TbEr2TlN structure, as listed in Alexandria.

Output
The density of states at the Fermi level comes out at 2.57 states/eV/cell. As for the magnetization: 0.000 μB/cell. For the uncorrected formation energy, the calculation gives -0.944 eV/atom. Its crystal system is tetragonal.

The structure in extended XYZ format:
```
5
Lattice="4.846 0.000 0.000 0.000 4.770 0.000 0.000 0.000 4.770" Properties=species:S:1:pos:R:3 pbc="T T T"
Tb 2.423 0.000 0.000
Er 0.000 0.000 2.385
Er 0.000 2.385 0.000
Tl 2.423 2.385 2.385
N 0.000 0.000 0.000
```

First-principles (PBE) data for a geometry-optimized ZnRu2S2 structure, as listed in Alexandria.

Output
The density of states at the Fermi level comes out at 1.62 states/eV/cell. As for the magnetization: 0.000 μB/cell. The relative energy among the computed polymorphs is 0.000 eV per atom. For the uncorrected formation energy, the calculation gives -0.112 eV/atom. Its crystal system is tetragonal.

The structure in extended XYZ format:
```
5
Lattice="3.886 0.000 0.000 0.000 3.886 0.000 1.943 1.943 7.395" Properties=species:S:1:pos:R:3 pbc="T T T"
Ru 3.886 1.943 3.698
Ru 1.943 3.886 3.698
Zn 0.000 0.000 0.000
S 1.943 1.943 2.444
S 3.886 3.886 4.951
```

First-principles (PBE) data for a geometry-optimized Tm4TlAg2 structure, as listed in Alexandria.

Output
The density of states at the Fermi level comes out at 6.34 states/eV/cell. As for the magnetization: 0.000 μB/cell. The relative energy among the computed polymorphs is 0.000 eV per atom. As for the formation energy from the elements: -0.1688 eV per atom. Its crystal system is trigonal.

The structure in extended XYZ format:
```
7
Lattice="4.868 0.000 1.521 2.197 4.345 1.521 -0.036 -0.022 8.666" Properties=species:S:1:pos:R:3 pbc="T T T"
Tl 0.000 0.000 0.000
Tm 6.128 3.769 6.040
Tm 0.901 0.554 5.669
Tm 4.339 2.668 3.215
Tm 2.690 1.654 8.493
Ag 5.252 3.230 8.844
Ag 1.777 1.093 2.865
```

First-principles (PBE) data for a geometry-optimized CdFeCuIr2 structure, as listed in Alexandria.

Output
The density of states at the Fermi level comes out at 6.00 states/eV/cell. As for the magnetization: 4.749 μB/cell. As for the formation energy from the elements: 2.1824 eV per atom. Its crystal system is tetragonal.

The structure in extended XYZ format:
```
5
Lattice="-2.524 4.160 -0.409 -2.300 -1.754 -3.647 -3.414 -1.775 3.007" Properties=species:S:1:pos:R:3 pbc="T T T"
Ir -1.707 -0.888 1.503
Ir -1.262 2.080 -0.205
Fe -1.150 -0.877 -1.823
Cu -4.119 0.316 -0.525
Cd 0.000 0.000 0.000
```

First-principles (PBE) data for a geometry-optimized UPaSe3 structure, as listed in Alexandria.

Output
The density of states at the Fermi level comes out at 36.25 states/eV/cell. As for the magnetization: 7.711 μB/cell. The relative energy among the computed polymorphs is 0.174 eV per atom. For the uncorrected formation energy, the calculation gives -1.080 eV/atom. Its crystal system is monoclinic.

The structure in extended XYZ format:
```
20
Lattice="-1.911 4.461 -4.684 -0.009 -7.531 -5.354 -8.363 -3.378 2.009" Properties=species:S:1:pos:R:3 pbc="T T T"
U -2.086 -3.866 -8.300
U -8.197 -2.583 0.271
U -7.639 -1.105 -3.406
U -2.644 -5.344 -4.623
Pa -3.049 -1.654 -0.990
Pa -7.616 -6.360 -3.517
Pa -7.233 -4.795 -7.039
Pa -2.666 -0.089 -4.512
Se -2.717 1.077 -1.893
Se -8.175 -8.978 -2.414
Se -7.565 -7.526 -6.136
Se -2.107 2.529 -5.615
Se -5.325 -2.890 0.339
Se -8.140 -3.732 -2.379
Se -4.957 -3.559 -8.368
Se -2.143 -2.717 -5.650
Se -4.796 -1.489 -3.220
Se -7.645 -2.132 -6.091
Se -5.487 -4.960 -4.809
Se -2.638 -4.317 -1.938
```

First-principles (PBE) data for a geometry-optimized ErReP2 structure, as listed in Alexandria.

Output
The density of states at the Fermi level comes out at 4.52 states/eV/cell. As for the magnetization: 0.001 μB/cell. The relative energy among the computed polymorphs is 0.000 eV per atom. As for the formation energy from the elements: -0.6587 eV per atom. Its crystal system is trigonal.

The structure in extended XYZ format:
```
4
Lattice="3.852 0.000 0.000 1.926 3.336 0.000 1.926 1.112 5.446" Properties=species:S:1:pos:R:3 pbc="T T T"
Re 0.000 0.000 0.000
P 1.926 1.112 1.058
P 5.777 3.336 4.388
Er 3.852 2.224 2.723
```

First-principles (PBE) data for a geometry-optimized Ac2LaCe3Se6 structure, as listed in Alexandria.

Output
The density of states at the Fermi level comes out at 20.87 states/eV/cell. As for the magnetization: 3.341 μB/cell. For the uncorrected formation energy, the calculation gives -1.853 eV/atom. Its crystal system is monoclinic.

The structure in extended XYZ format:
```
12
Lattice="-0.353 2.191 3.680 -7.767 2.949 -2.500 -1.820 -9.097 2.732" Properties=species:S:1:pos:R:3 pbc="T T T"
Ac -6.701 -2.286 3.228
Ac -3.239 -1.671 0.684
La -0.176 1.095 1.840
Ce -4.060 2.570 0.590
Ce -2.791 -3.743 4.470
Ce -7.149 -0.214 -0.558
Se -8.526 -2.583 0.721
Se -5.432 0.228 1.853
Se -1.413 -1.374 3.192
Se -4.116 -6.095 5.743
Se -5.824 2.138 -1.831
Se -4.507 -4.185 2.060
```